# 1
# Cs2BaCeF6 | Alexandria via LeMat-Bulk | GGA-PBE | optimized geometry
# D(E_F) = 0.514 states/eV per atom
# Energy relative to the elements, uncorrected = -3.21 eV/atom
data_Cs2BaCeF6
_cell_length_a 10.066
_cell_length_b 10.074
_cell_length_c 7.115
_cell_angle_alpha 90.00
_cell_angle_beta 134.95
_cell_angle_gamma 90.00
_symmetry_space_group_name_H-M 'C 1 2/m 1'
_symmetry_Int_Tables_number 12
loop_
_symmetry_equiv_pos_as_xyz
'x,y,z'
'-x,-y,-z'
'-x,y,-z'
'x,-y,z'
'x+1/2,y+1/2,z'
'-x+1/2,-y+1/2,-z'
'-x+1/2,y+1/2,-z'
'x+1/2,-y+1/2,z'
loop_
_atom_site_label
_atom_site_type_symbol
_atom_site_fract_x
_atom_site_fract_y
_atom_site_fract_z
_atom_site_occupancy
Cs1 Cs 0.000 0.250 0.000 1
Ba1 Ba 0.000 0.000 0.500 1
Ce1 Ce 0.000 0.500 0.500 1
F1 F 0.000 0.263 0.500 1
F2 F 0.237 0.500 0.500 1
F3 F 0.237 0.500 0.974 1

# 2
# Cs2BaCeI6 | Alexandria via LeMat-Bulk | GGA-PBE | optimized geometry
# D(E_F) = 1.345 states/eV per atom
# Energy relative to the elements, uncorrected = -1.44 eV/atom
data_Cs2BaCeI6
_cell_length_a 9.060
_cell_length_b 13.172
_cell_length_c 9.649
_cell_angle_alpha 90.00
_cell_angle_beta 90.00
_cell_angle_gamma 90.00
_symmetry_space_group_name_H-M 'P m m n'
_symmetry_Int_Tables_number 59
loop_
_symmetry_equiv_pos_as_xyz
'x,y,z'
'-x,-y,-z'
'-x+1/2,-y+1/2,z'
'x+1/2,y+1/2,-z'
'x+1/2,-y,-z'
'-x+1/2,y,z'
'-x,y+1/2,-z'
'x,-y+1/2,z'
loop_
_atom_site_label
_atom_site_type_symbol
_atom_site_fract_x
_atom_site_fract_y
_atom_site_fract_z
_atom_site_occupancy
Cs1 Cs 0.250 0.044 0.193 1
Ba1 Ba 0.250 0.250 0.717 1
Ce1 Ce 0.250 0.750 0.779 1
I1 I 0.006 0.750 0.022 1
I2 I 0.010 0.250 0.444 1
I3 I 0.250 0.506 0.777 1

# 3
# Cs3BaCe2S6 | Alexandria via LeMat-Bulk | GGA-PBE | optimized geometry
# D(E_F) = 0.500 states/eV per atom
# Energy relative to the elements, uncorrected = -1.74 eV/atom
data_Cs3BaCe2S6
_cell_length_a 7.571
_cell_length_b 13.100
_cell_length_c 8.447
_cell_angle_alpha 90.00
_cell_angle_beta 107.44
_cell_angle_gamma 90.00
_symmetry_space_group_name_H-M 'C 1 2/m 1'
_symmetry_Int_Tables_number 12
loop_
_symmetry_equiv_pos_as_xyz
'x,y,z'
'-x,-y,-z'
'-x,y,-z'
'x,-y,z'
'x+1/2,y+1/2,z'
'-x+1/2,-y+1/2,-z'
'-x+1/2,y+1/2,-z'
'x+1/2,-y+1/2,z'
loop_
_atom_site_label
_atom_site_type_symbol
_atom_site_fract_x
_atom_site_fract_y
_atom_site_fract_z
_atom_site_occupancy
Cs1 Cs 0.000 0.000 0.000 1
Cs2 Cs 0.000 0.340 0.000 1
Ba1 Ba 0.000 0.500 0.500 1
Ce1 Ce 0.000 0.167 0.500 1
S1 S 0.195 0.000 0.685 1
S2 S 0.247 0.316 0.688 1

# 4
# Cs3Ba2CeS6 | Alexandria via LeMat-Bulk | GGA-PBE | optimized geometry
# D(E_F) = 1.657 states/eV per atom
# Energy relative to the elements, uncorrected = -1.55 eV/atom
data_Cs3Ba2CeS6
_cell_length_a 7.854
_cell_length_b 13.594
_cell_length_c 8.433
_cell_angle_alpha 90.00
_cell_angle_beta 108.11
_cell_angle_gamma 90.00
_symmetry_space_group_name_H-M 'C 1 2/m 1'
_symmetry_Int_Tables_number 12
loop_
_symmetry_equiv_pos_as_xyz
'x,y,z'
'-x,-y,-z'
'-x,y,-z'
'x,-y,z'
'x+1/2,y+1/2,z'
'-x+1/2,-y+1/2,-z'
'-x+1/2,y+1/2,-z'
'x+1/2,-y+1/2,z'
loop_
_atom_site_label
_atom_site_type_symbol
_atom_site_fract_x
_atom_site_fract_y
_atom_site_fract_z
_atom_site_occupancy
Cs1 Cs 0.000 0.000 0.000 1
Cs2 Cs 0.000 0.329 0.000 1
Ba1 Ba 0.000 0.166 0.500 1
Ce1 Ce 0.000 0.500 0.500 1
S1 S 0.211 0.353 0.692 1
S2 S 0.229 0.500 0.307 1

# 5
# Cs3Ba2CeSe6 | Alexandria via LeMat-Bulk | GGA-PBE | optimized geometry
# D(E_F) = 1.623 states/eV per atom
# Energy relative to the elements, uncorrected = -1.53 eV/atom
data_Cs3Ba2CeSe6
_cell_length_a 8.139
_cell_length_b 14.089
_cell_length_c 8.750
_cell_angle_alpha 90.00
_cell_angle_beta 108.10
_cell_angle_gamma 90.00
_symmetry_space_group_name_H-M 'C 1 2/m 1'
_symmetry_Int_Tables_number 12
loop_
_symmetry_equiv_pos_as_xyz
'x,y,z'
'-x,-y,-z'
'-x,y,-z'
'x,-y,z'
'x+1/2,y+1/2,z'
'-x+1/2,-y+1/2,-z'
'-x+1/2,y+1/2,-z'
'x+1/2,-y+1/2,z'
loop_
_atom_site_label
_atom_site_type_symbol
_atom_site_fract_x
_atom_site_fract_y
_atom_site_fract_z
_atom_site_occupancy
Cs1 Cs 0.000 0.000 0.000 1
Cs2 Cs 0.000 0.328 0.000 1
Ba1 Ba 0.000 0.166 0.500 1
Ce1 Ce 0.000 0.500 0.500 1
Se1 Se 0.213 0.352 0.695 1
Se2 Se 0.230 0.500 0.304 1

# 6
# Cs2BaCe3Se8 | Alexandria via LeMat-Bulk | GGA-PBE | optimized geometry
# Energy relative to the elements, uncorrected = -1.55 eV/atom
data_Cs2BaCe3Se8
_cell_length_a 8.8221
_cell_length_b 8.8221
_cell_length_c 24.8430
_cell_angle_alpha 90.00
_cell_angle_beta 90.00
_cell_angle_gamma 120.00
_symmetry_space_group_name_H-M 'R 3 m'
_symmetry_Int_Tables_number 160
_symmetry_space_group_name_Hall 'R 3 -2"'
loop_
_atom_site_label
_atom_site_type_symbol
_atom_site_fract_x
_atom_site_fract_y
_atom_site_fract_z
_atom_site_occupancy
Cs1 Cs 0.0000 0.0000 0.0000 1
Cs2 Cs 0.0000 0.0000 0.3631 1
Ba1 Ba 0.0000 0.0000 0.6167 1
Ce1 Ce 0.1674 0.3348 0.8305 1
Se1 Se 0.0000 0.0000 0.2232 1
Se2 Se 0.0000 0.0000 0.7651 1
Se3 Se 0.0322 0.5161 0.7742 1
Se4 Se 0.1822 0.3644 0.5594 1

# 7
# Cs2BaCeSe4 | Alexandria via LeMat-Bulk | GGA-PBE | optimized geometry
# Energy relative to the elements, uncorrected = -1.62 eV/atom
data_Cs2BaCeSe4
_cell_length_a 8.026
_cell_length_b 4.566
_cell_length_c 8.744
_cell_angle_alpha 90.00
_cell_angle_beta 107.53
_cell_angle_gamma 90.00
_symmetry_space_group_name_H-M 'P 1 2/m 1'
_symmetry_Int_Tables_number 10
loop_
_symmetry_equiv_pos_as_xyz
'x,y,z'
'-x,-y,-z'
'-x,y,-z'
'x,-y,z'
loop_
_atom_site_label
_atom_site_type_symbol
_atom_site_fract_x
_atom_site_fract_y
_atom_site_fract_z
_atom_site_occupancy
Cs1 Cs 0.000 0.000 0.000 1
Cs2 Cs 0.500 0.500 0.000 1
Ba1 Ba 0.000 0.500 0.500 1
Ce1 Ce 0.500 0.000 0.500 1
Se1 Se 0.271 0.000 0.694 1
Se2 Se 0.299 0.500 0.314 1

# 8
# Ba4CeEu3Tl2Cu4O18 | Alexandria via LeMat-Bulk | GGA-PBE | optimized geometry
# D(E_F) = 0.610 states/eV per atom
# Energy relative to the elements, uncorrected = -1.90 eV/atom
data_Ba4CeEu3Tl2Cu4O18
_cell_length_a 3.900
_cell_length_b 7.770
_cell_length_c 15.918
_cell_angle_alpha 83.11
_cell_angle_beta 82.98
_cell_angle_gamma 90.00
_symmetry_space_group_name_H-M 'P 1'
_symmetry_Int_Tables_number 1
loop_
_symmetry_equiv_pos_as_xyz
'x,y,z'
loop_
_atom_site_label
_atom_site_type_symbol
_atom_site_fract_x
_atom_site_fract_y
_atom_site_fract_z
_atom_site_occupancy
Ba1 Ba 0.000 0.000 0.000 1
Ba2 Ba 0.000 0.500 0.000 1
Ba3 Ba 0.171 0.084 0.660 1
Ba4 Ba 0.172 0.584 0.660 1
Ce1 Ce 0.296 0.646 0.410 1
Eu1 Eu 0.295 0.145 0.412 1
Eu2 Eu 0.877 0.940 0.247 1
Eu3 Eu 0.878 0.437 0.247 1
Tl1 Tl 0.651 0.292 0.830 1
Tl2 Tl 0.651 0.792 0.830 1
Cu1 Cu 0.434 0.218 0.130 1
Cu2 Cu 0.434 0.718 0.131 1
Cu3 Cu 0.737 0.366 0.529 1
Cu4 Cu 0.737 0.867 0.529 1
O1 O 0.243 0.374 0.517 1
O2 O 0.243 0.864 0.517 1
O3 O 0.335 0.425 0.332 1
O4 O 0.335 0.908 0.332 1
O5 O 0.430 0.465 0.143 1
O6 O 0.430 0.965 0.143 1
O7 O 0.503 0.258 0.965 1
O8 O 0.503 0.758 0.966 1
O9 O 0.640 0.326 0.694 1
O10 O 0.640 0.825 0.694 1
O11 O 0.744 0.119 0.518 1
O12 O 0.745 0.620 0.515 1
O13 O 0.834 0.666 0.336 1
O14 O 0.836 0.165 0.330 1
O15 O 0.928 0.715 0.144 1
O16 O 0.929 0.215 0.141 1
O17 O 0.988 0.542 0.830 1
O18 O 0.989 0.042 0.830 1

# 9
# BaCeCu2F8 | Alexandria via LeMat-Bulk | GGA-PBE | optimized geometry
# D(E_F) = 0.944 states/eV per atom
# Energy relative to the elements, uncorrected = -2.74 eV/atom
data_BaCeCu2F8
_cell_length_a 5.7213
_cell_length_b 5.7213
_cell_length_c 7.9325
_cell_angle_alpha 90.00
_cell_angle_beta 90.00
_cell_angle_gamma 120.00
_symmetry_space_group_name_H-M 'P -3 m 1'
_symmetry_Int_Tables_number 164
_symmetry_space_group_name_Hall '-P 3 2"'
loop_
_atom_site_label
_atom_site_type_symbol
_atom_site_fract_x
_atom_site_fract_y
_atom_site_fract_z
_atom_site_occupancy
Ba1 Ba 0.0000 0.0000 0.0000 1
Ce1 Ce 0.0000 0.0000 0.5000 1
Cu1 Cu 0.3333 0.6667 0.1637 1
F1 F 0.1618 0.3235 0.3063 1
F2 F 0.3333 0.6667 0.9285 1

# 10
# Ba2CeCu3H12 | Alexandria via LeMat-Bulk | GGA-PBE | optimized geometry
# VASP energy = -3.66 eV/atom
# D(E_F) = 0.417 states/eV per atom
data_Ba2CeCu3H12
_cell_length_a 6.7530
_cell_length_b 6.7530
_cell_length_c 15.2177
_cell_angle_alpha 90.00
_cell_angle_beta 90.00
_cell_angle_gamma 120.00
_symmetry_space_group_name_H-M 'R -3 m'
_symmetry_Int_Tables_number 166
_symmetry_space_group_name_Hall '-R 3 2"'
loop_
_atom_site_label
_atom_site_type_symbol
_atom_site_fract_x
_atom_site_fract_y
_atom_site_fract_z
_atom_site_occupancy
Ba1 Ba 0.0000 0.0000 0.1098 1
Ce1 Ce 0.0000 0.0000 0.5000 1
Cu1 Cu 0.0000 0.5000 0.0000 1
H1 H 0.0286 0.5143 0.8888 1
H2 H 0.0959 0.5479 0.3036 1

# 11
# BaCe2CuN4 | Alexandria via LeMat-Bulk | GGA-PBE | optimized geometry
# D(E_F) = 0.709 states/eV per atom
# Energy relative to the elements, uncorrected = -0.90 eV/atom
data_BaCe2CuN4
_cell_length_a 3.632
_cell_length_b 12.014
_cell_length_c 11.948
_cell_angle_alpha 90.00
_cell_angle_beta 90.00
_cell_angle_gamma 90.00
_symmetry_space_group_name_H-M 'C m c m'
_symmetry_Int_Tables_number 63
_symmetry_space_group_name_Hall '-C 2c 2'
loop_
_atom_site_label
_atom_site_type_symbol
_atom_site_fract_x
_atom_site_fract_y
_atom_site_fract_z
_atom_site_occupancy
Ba1 Ba 0.000 0.104 0.250 1
Ce1 Ce 0.000 0.367 0.053 1
Cu1 Cu 0.000 0.168 0.750 1
N1 N 0.000 0.000 0.000 1
N2 N 0.000 0.253 0.604 1
N3 N 0.000 0.407 0.250 1

# 12
# Ba3CeCu2O9 | Alexandria via LeMat-Bulk | GGA-PBE | optimized geometry
# D(E_F) = 0.824 states/eV per atom
# Energy relative to the elements, uncorrected = -1.88 eV/atom
data_Ba3CeCu2O9
_cell_length_a 5.8279
_cell_length_b 5.8279
_cell_length_c 7.2020
_cell_angle_alpha 90.00
_cell_angle_beta 90.00
_cell_angle_gamma 120.00
_symmetry_space_group_name_H-M 'P -3 m 1'
_symmetry_Int_Tables_number 164
_symmetry_space_group_name_Hall '-P 3 2"'
loop_
_atom_site_label
_atom_site_type_symbol
_atom_site_fract_x
_atom_site_fract_y
_atom_site_fract_z
_atom_site_occupancy
Ba1 Ba 0.0000 0.0000 0.0000 1
Ba2 Ba 0.3333 0.6667 0.6892 1
Ce1 Ce 0.0000 0.0000 0.5000 1
Cu1 Cu 0.3333 0.6667 0.1614 1
O1 O 0.0000 0.5000 0.0000 1
O2 O 0.1742 0.3484 0.3204 1